w.
A PBEsol-optimized structure of BaFeMo2, computed with SCAN.

```
BaFeMo2
1.0
-0.183 -2.888 1.352
3.745 0.983 2.605
-2.772 1.734 3.330
Ba Fe Mo
1 1 2
direct
0.500 0.500 0.500
0.500 0.000 0.000
0.000 0.000 0.500
0.000 0.500 0.000
```

The magnetization comes out at 2.81 μB/cell. Its space group is No. 123. The calculation puts the volume at 17.4 Å³/atom.


x.
A PBEsol-optimized structure of BaFeMo2, computed with SCAN.

```
BaFeMo2
1.0
3.193 0.000 0.000
0.000 3.193 0.000
0.000 0.000 7.794
Ba Fe Mo
1 1 2
direct
0.000 0.000 0.509
0.500 0.500 0.833
0.000 0.000 0.994
0.500 0.500 0.165
```

The magnetization comes out at 2.86 μB/cell. Its space group is No. 99. The calculation puts the volume at 19.9 Å³/atom.


Stability verdict: x, ahead by 88.4 kJ/mol of atoms


w.
A PBEsol-optimized structure of BaFeNi2, computed with SCAN.

```
BaFeNi2
1.0
3.124 0.000 0.000
0.000 3.124 0.000
0.000 0.000 7.076
Ba Fe Ni
1 1 2
direct
0.000 0.000 0.487
0.500 0.500 0.853
0.000 0.000 0.991
0.500 0.500 0.169
```

The magnetization comes out at 4.37 μB/cell. Its space group is No. 99. The calculation puts the volume at 17.3 Å³/atom.


x.
A PBEsol-optimized structure of BaFeNi2, computed with SCAN.

```
BaFeNi2
1.0
-0.498 -1.836 -3.425
3.742 -3.040 -1.155
-1.337 -4.748 0.498
Ba Fe Ni
1 1 2
direct
0.500 0.000 0.000
0.000 0.500 0.500
0.327 0.673 0.673
0.673 0.327 0.327
```

The magnetization comes out at 3.93 μB/cell. Its space group is No. 71. The calculation puts the volume at 19.7 Å³/atom.


y.
A PBEsol-optimized structure of BaFeNi2, computed with SCAN.

```
BaFeNi2
1.0
-0.498 4.485 0.206
-1.846 1.902 3.658
2.561 2.430 2.818
Ba Fe Ni
1 1 2
direct
0.500 0.500 0.500
0.250 0.250 0.250
0.000 0.000 0.000
0.750 0.750 0.750
```

The magnetization comes out at 3.04 μB/cell. Its space group is No. 216. The calculation puts the volume at 16.3 Å³/atom.


Stability verdict: w, ahead by 14.6 kJ/mol of atoms


w.
A PBEsol-optimized structure of BaYFe4O7, computed with SCAN.

```
BaYFe4O7
1.0
-1.091 5.990 -1.244
-4.366 -4.264 -1.177
-3.913 1.313 9.755
Y Ba O Fe
2 2 14 8
direct
0.667 0.333 0.615
0.333 0.667 0.115
0.667 0.333 0.018
0.333 0.667 0.518
0.838 0.162 0.495
0.162 0.323 0.995
0.677 0.838 0.995
0.323 0.162 0.495
0.838 0.677 0.495
0.162 0.838 0.995
0.000 0.000 0.750
0.000 0.000 0.250
0.507 0.493 0.225
0.493 0.986 0.725
0.014 0.507 0.725
0.986 0.493 0.225
0.493 0.507 0.725
0.507 0.014 0.225
0.814 0.186 0.318
0.186 0.372 0.818
0.628 0.814 0.818
0.372 0.186 0.318
0.814 0.628 0.318
0.186 0.814 0.818
0.000 0.000 0.070
0.000 0.000 0.570
```

The magnetization comes out at 34.00 μB/cell. Its space group is No. 186. The calculation puts the volume at 13.6 Å³/atom.


x.
A PBEsol-optimized structure of BaYFe4O7, computed with SCAN.

```
BaYFe4O7
1.0
6.197 0.000 0.000
-3.099 5.490 0.026
0.000 3.474 5.132
Ba Y Fe O
1 1 4 7
direct
0.250 0.500 0.250
0.000 0.000 0.000
0.154 0.772 0.597
0.618 0.772 0.631
0.631 0.228 0.154
0.597 0.228 0.618
0.828 0.055 0.269
0.226 0.055 0.677
0.677 0.945 0.828
0.269 0.945 0.226
0.754 0.507 0.246
0.246 0.493 0.754
0.750 0.500 0.750
```

The magnetization comes out at 17.00 μB/cell. Its space group is No. 82. The calculation puts the volume at 13.4 Å³/atom.


Stability verdict: x, ahead by 1.0 kJ/mol of atoms


w.
A PBEsol-optimized structure of Ba2ScFe, computed with SCAN.

```
Ba2ScFe
1.0
-3.493 -0.713 0.778
-1.231 -3.433 -0.117
0.982 -2.651 10.541
Ba Fe Sc
2 1 1
direct
0.237 0.237 0.288
0.763 0.763 0.712
0.500 0.500 0.500
0.000 0.000 0.000
```

The magnetization comes out at 1.94 μB/cell. Its space group is No. 166. The calculation puts the volume at 30.9 Å³/atom.


x.
A PBEsol-optimized structure of Ba2ScFe, computed with SCAN.

```
Ba2ScFe
1.0
-2.632 4.818 -0.045
-4.058 0.945 3.576
0.736 3.568 4.107
Ba Fe Sc
2 1 1
direct
0.000 0.000 0.000
0.750 0.750 0.750
0.500 0.500 0.500
0.250 0.250 0.250
```

The magnetization comes out at 2.31 μB/cell. Its space group is No. 216. The calculation puts the volume at 29.3 Å³/atom.


Stability verdict: x, ahead by 10.3 kJ/mol of atoms